YCdTe: optimized geometry, GGA-PBE.

Geometry as extended XYZ:
```
3
Lattice="-4.888 0.703 0.758 1.548 -3.157 -3.549 -0.018 -2.898 2.571" Properties=species:S:1:pos:R:3 pbc="T T T"
Cd -0.001 -0.144 0.128
Te -2.747 -1.335 -0.011
Y -0.609 -3.874 -0.336
```

- uncorrected energy (eV/atom) = -3.9321
- uncorrected formation energy (meV/atom) = -425.2
- total moment (μB/f.u.) = 0.00
- SG = P3m1
- excess energy over the best structure of this formula in the dataset (meV/atom) = 374.5